A relaxed structure of NiW5. Source: the Alexandria database, functional PBE.

Lattice parameters (Å, degrees): 4.8637 4.8637 4.5659 90.00 90.00 120.00
Fractional coordinates of all 6 atoms:
Ni (0.0000, 0.0000, 0.5000)
W (0.6708, 0.0000, 0.0000)
W (0.3292, 0.3292, 0.0000)
W (0.0000, 0.6708, 0.0000)
W (0.6667, 0.3333, 0.5000)
W (0.3333, 0.6667, 0.5000)

Energy above the lowest structure with this stoichiometry   127 meV/atom
Formation energy from the elements   374 meV per atom
Density   17.36 Mg/m³
SG   P-62m
DFT total energy   -11.38 eV per atom